DFT (GGA-PBE) results for a geometry-optimized MgAlTlCd structure.

Summary:
Formation energy from the elements: 0.13 eV per atom
M_tot: 0.000 Bohr magnetons per cell

Cell: 5.051 5.051 5.051 Å, 60.00 60.00 60.00°
Positions (direct):
Mg 0.000 0.000 0.000
Al 0.500 0.500 0.500
Tl 0.750 0.750 0.750
Cd 0.250 0.250 0.250